Crystalline Sm2Mg2Si4Pt at its relaxed geometry. Source: the Alexandria database, functional PBE.

a b c (Å): 6.264 6.264 6.264
angles (deg): 91.02 119.41 119.41
Positions (direct):
Sm 0.500 0.250 0.750
Sm 0.500 0.750 0.250
Si 0.446 0.723 0.723
Mg 0.000 0.708 0.708
Si 0.554 0.277 0.277
Mg 0.000 0.292 0.292
Pt 0.000 0.000 0.000
Si 0.000 0.723 0.277
Si 0.000 0.277 0.723

- M_tot: 0.00 μB per formula unit
- V: 19.48 Å³/atom
- Uncorrected energy: -4.955 eV/atom
- Density: 6.22 g/cm3
- SG: No. 139